[1]
This record from Alexandria describes DyHo2HfN4 after structural relaxation. The functional is PBE.

Lattice parameters (Å, degrees): 5.857 3.376 5.863 90.00 109.22 90.00
Space group P2/m (No. 10)
Asymmetric unit:
Dy1 0.000 0.000 0.000 x1
Ho1 0.500 0.000 0.500 x1
Ho2 0.500 0.500 0.000 x1
Hf1 0.000 0.500 0.500 x1
N1 0.234 0.000 0.733 x2
N2 0.241 0.500 0.261 x2

Properties
**N(E_F)**: 0.1321 states/eV per atom
**E_tot**: -0.32715 Ha/atom
**Energy relative to the elements, uncorrected**: -14.2 eV per formula unit

=====

[2]
This record from Alexandria describes PuPa6Ga after structural relaxation. The functional is PBE.

Lattice parameters (Å, degrees): 5.952 10.004 7.460 90.00 105.84 90.00
Space group C2/m (No. 12)
Asymmetric unit:
Pu1 0.000 0.000 0.000 x2
Pa1 0.167 0.000 0.736 x4
Pa2 0.189 0.334 0.833 x8
Ga1 0.000 0.500 0.500 x2

Properties
**N(E_F)**: 2.0086 states/eV per atom
**E_tot**: -0.33297 Ha/atom
**Formation enthalpy at 0 K**: 1.850 eV/f.u.

=====

Which value of N(E_F) does entry 2 give? 2.0086 states/eV per atom

=====

N(E_F) of number 2 (PuPa6Ga)? 2.0086 states/eV per atom

=====

What is the E_tot in the first record? -0.32715 Ha/atom